First-principles (GGA-PBE) data for a relaxed structure of CdNi2As, as listed in Alexandria. Values from VASP.

```
&SYSTEM
  ibrav = 0, nat = 8, ntyp = 3
/
ATOMIC_SPECIES
Ni 58.69 Ni.upf
As 74.92 As.upf
Cd 112.41 Cd.upf
CELL_PARAMETERS angstrom
6.815 0.000 0.000
0.000 6.815 0.000
3.407 3.407 2.777
ATOMIC_POSITIONS crystal
Ni 0.574 0.125 0.250
Ni 0.176 0.625 0.250
Ni 0.375 0.426 0.750
Ni 0.875 0.824 0.750
As 0.500 0.500 0.000
As 0.250 0.750 0.500
Cd 0.000 0.000 0.000
Cd 0.750 0.250 0.500
```

Computed properties:
Distance to the lowest polymorph of the same formula (kcal/mol of atoms): 4.665
Energy (eV/cell): -33.07
ρ (g/cm3): 7.85
DFT formation energy (eV per atom): 0.148
Space group: I-42d (122)



First-principles (GGA-PBE) data for a relaxed structure of Dy2Zn3Ni12Ir, as listed in Alexandria. Values from VASP.

```
&SYSTEM
  ibrav = 0, nat = 18, ntyp = 4
/
ATOMIC_SPECIES
Dy 162.50 Dy.upf
Zn 65.41 Zn.upf
Ni 58.69 Ni.upf
Ir 192.22 Ir.upf
CELL_PARAMETERS angstrom
11.067 3.491 2.476
8.501 7.899 2.476
8.501 4.948 6.637
ATOMIC_POSITIONS crystal
Dy 0.642 0.642 0.642
Dy 0.358 0.358 0.358
Zn 0.500 0.000 0.000
Zn 0.000 0.500 0.000
Zn 0.000 0.000 0.500
Ni 0.398 0.398 0.869
Ni 0.892 0.892 0.391
Ni 0.391 0.892 0.892
Ni 0.869 0.398 0.398
Ni 0.892 0.391 0.892
Ni 0.398 0.869 0.398
Ni 0.602 0.602 0.131
Ni 0.108 0.108 0.609
Ni 0.609 0.108 0.108
Ni 0.131 0.602 0.602
Ni 0.108 0.609 0.108
Ni 0.602 0.131 0.602
Ir 0.000 0.000 0.000
```

Computed properties:
Energy (eV/cell): -91.27
ρ (g/cm3): 9.09
DFT formation energy (eV per atom): 0.000
Space group: R-3m (166)



First-principles (GGA-PBE) data for a relaxed structure of VCrCl4, as listed in Alexandria. Values from VASP.

```
&SYSTEM
  ibrav = 0, nat = 12, ntyp = 3
/
ATOMIC_SPECIES
V 50.94 V.upf
Cr 52.00 Cr.upf
Cl 35.45 Cl.upf
CELL_PARAMETERS angstrom
6.474 -0.914 0.000
-2.021 6.381 0.000
-2.226 -2.734 7.650
ATOMIC_POSITIONS crystal
V 0.314 0.564 0.128
V 0.686 0.436 0.872
Cr 0.817 0.067 0.134
Cr 0.183 0.933 0.866
Cl 0.318 0.085 0.664
Cl 0.087 0.787 0.098
Cl 0.155 0.422 0.336
Cl 0.489 0.688 0.902
Cl 0.682 0.915 0.336
Cl 0.845 0.578 0.664
Cl 0.913 0.213 0.902
Cl 0.511 0.312 0.098
```

Computed properties:
Distance to the lowest polymorph of the same formula (kcal/mol of atoms): 0.522
Energy (eV/cell): -64.19
ρ (g/cm3): 2.69
Space group: C2/c (15)



First-principles (GGA-PBE) data for a relaxed structure of ErCu2Si2, as listed in Alexandria. Values from VASP.

```
&SYSTEM
  ibrav = 0, nat = 5, ntyp = 3
/
ATOMIC_SPECIES
Si 28.09 Si.upf
Cu 63.55 Cu.upf
Er 167.26 Er.upf
CELL_PARAMETERS angstrom
-0.695 0.923 3.794
2.598 -2.766 1.153
2.684 4.290 -2.644
ATOMIC_POSITIONS crystal
Si 0.618 0.618 0.236
Si 0.382 0.382 0.764
Cu 0.749 0.251 0.500
Cu 0.251 0.749 0.500
Er 0.000 0.000 0.000
```

Computed properties:
Energy (eV/cell): -26.51
ρ (g/cm3): 7.46
Space group: C2/m (12)



First-principles (GGA-PBE) data for a relaxed structure of TeRhS2Cl, as listed in Alexandria. Values from VASP.

```
&SYSTEM
  ibrav = 0, nat = 5, ntyp = 4
/
ATOMIC_SPECIES
S 32.06 S.upf
Te 127.60 Te.upf
Rh 102.91 Rh.upf
Cl 35.45 Cl.upf
CELL_PARAMETERS angstrom
4.713 0.000 0.000
0.000 4.713 0.000
0.000 0.000 4.647
ATOMIC_POSITIONS crystal
S 0.000 0.500 0.000
S 0.500 0.000 0.000
Te 0.500 0.500 0.500
Rh 0.000 0.000 0.000
Cl 0.000 0.000 0.500
```

Computed properties:
Distance to the lowest polymorph of the same formula (kcal/mol of atoms): 0.000
Energy (eV/cell): -19.50
ρ (g/cm3): 5.31
Space group: P4/mmm (123)



First-principles (GGA-PBE) data for a relaxed structure of ZrBe2Rh2, as listed in Alexandria. Values from VASP.

```
&SYSTEM
  ibrav = 0, nat = 10, ntyp = 3
/
ATOMIC_SPECIES
Be 9.01 Be.upf
Rh 102.91 Rh.upf
Zr 91.22 Zr.upf
CELL_PARAMETERS angstrom
-5.704 1.672 3.210
-3.335 -0.104 -5.874
-0.596 -2.776 0.387
ATOMIC_POSITIONS crystal
Be 0.384 0.884 0.000
Be 0.884 0.616 0.000
Be 0.616 0.116 0.000
Be 0.116 0.384 0.000
Rh 0.170 0.670 0.500
Rh 0.670 0.830 0.500
Rh 0.830 0.330 0.500
Rh 0.330 0.170 0.500
Zr 0.000 0.000 0.000
Zr 0.500 0.500 0.000
```

Computed properties:
Distance to the lowest polymorph of the same formula (kcal/mol of atoms): 0.000
Energy (eV/cell): -67.60
ρ (g/cm3): 8.00
DFT formation energy (eV per atom): -0.619
Space group: P4/mbm (127)



First-principles (GGA-PBE) data for a relaxed structure of Sr8MgTl2, as listed in Alexandria. Values from VASP.

```
&SYSTEM
  ibrav = 0, nat = 11, ntyp = 3
/
ATOMIC_SPECIES
Sr 87.62 Sr.upf
Mg 24.30 Mg.upf
Tl 204.38 Tl.upf
CELL_PARAMETERS angstrom
5.819 0.000 0.000
0.000 8.385 0.019
-2.910 -3.580 9.680
ATOMIC_POSITIONS crystal
Sr 0.401 0.536 0.802
Sr 0.672 0.958 0.345
Sr 0.804 0.697 0.608
Sr 0.969 0.220 0.937
Sr 0.196 0.303 0.392
Sr 0.328 0.042 0.655
Sr 0.599 0.464 0.198
Sr 0.031 0.780 0.063
Mg 0.500 0.000 0.000
Tl 0.818 0.304 0.635
Tl 0.182 0.696 0.365
```

Computed properties:
Distance to the lowest polymorph of the same formula (kcal/mol of atoms): 0.000
Energy (eV/cell): -21.75
ρ (g/cm3): 3.98
DFT formation energy (eV per atom): -0.179
Space group: C2/m (12)



First-principles (GGA-PBE) data for a relaxed structure of PrSbO2, as listed in Alexandria. Values from VASP.

```
&SYSTEM
  ibrav = 0, nat = 4, ntyp = 3
/
ATOMIC_SPECIES
Pr 140.91 Pr.upf
Sb 121.76 Sb.upf
O 16.00 O.upf
CELL_PARAMETERS angstrom
-0.423 -3.528 -1.159
1.620 -1.132 -3.172
5.913 -3.350 2.013
ATOMIC_POSITIONS crystal
Pr 0.000 0.000 0.000
Sb 0.500 0.500 0.500
O 0.114 0.114 0.657
O 0.886 0.886 0.343
```

Computed properties:
Energy (eV/cell): -23.73
ρ (g/cm3): 5.99
Space group: R-3m (166)



First-principles (GGA-PBE) data for a relaxed structure of ZnBiH, as listed in Alexandria. Values from VASP.

```
&SYSTEM
  ibrav = 0, nat = 12, ntyp = 3
/
ATOMIC_SPECIES
H 1.01 H.upf
Zn 65.41 Zn.upf
Bi 208.98 Bi.upf
CELL_PARAMETERS angstrom
8.550 0.000 0.000
0.000 6.813 0.000
0.000 0.000 4.608
ATOMIC_POSITIONS crystal
H 0.450 0.250 0.858
H 0.050 0.750 0.358
H 0.550 0.750 0.142
H 0.950 0.250 0.642
Zn 0.000 0.000 0.000
Zn 0.500 0.500 0.500
Zn 0.500 0.000 0.500
Zn 0.000 0.500 0.000
Bi 0.316 0.250 0.183
Bi 0.184 0.750 0.683
Bi 0.684 0.750 0.817
Bi 0.816 0.250 0.317
```

Computed properties:
Distance to the lowest polymorph of the same formula (kcal/mol of atoms): 6.016
Energy (eV/cell): -30.32
ρ (g/cm3): 6.81
Space group: Pnma (62)



First-principles (GGA-PBE) data for a relaxed structure of PmDyHoTm, as listed in Alexandria. Values from VASP.

```
&SYSTEM
  ibrav = 0, nat = 4, ntyp = 4
/
ATOMIC_SPECIES
Pm 145.00 Pm.upf
Dy 162.50 Dy.upf
Ho 164.93 Ho.upf
Tm 168.93 Tm.upf
CELL_PARAMETERS angstrom
3.571 0.000 0.000
-1.785 3.092 0.002
-1.782 -1.036 11.486
ATOMIC_POSITIONS crystal
Pm 0.969 0.383 0.367
Dy 0.472 0.134 0.621
Ho 0.303 0.549 0.868
Tm 0.134 0.965 0.113
```

Computed properties:
Distance to the lowest polymorph of the same formula (kcal/mol of atoms): 0.000
Energy (eV/cell): -18.32
ρ (g/cm3): 8.40
DFT formation energy (eV per atom): 0.020
Space group: R3m (160)



First-principles (GGA-PBE) data for a relaxed structure of Ta3Ti2Nb6, as listed in Alexandria. Values from VASP.

```
&SYSTEM
  ibrav = 0, nat = 11, ntyp = 3
/
ATOMIC_SPECIES
Ta 180.95 Ta.upf
Ti 47.87 Ti.upf
Nb 92.91 Nb.upf
CELL_PARAMETERS angstrom
4.038 0.000 2.215
2.019 4.931 1.107
-0.342 0.000 10.213
ATOMIC_POSITIONS crystal
Ta 0.000 0.000 0.000
Ta 0.328 0.344 0.000
Ta 0.672 0.656 0.000
Ti 0.146 0.708 0.500
Ti 0.854 0.292 0.500
Nb 0.437 0.674 0.725
Nb 0.740 0.000 0.760
Nb 0.112 0.326 0.725
Nb 0.260 0.000 0.240
Nb 0.563 0.326 0.275
Nb 0.888 0.674 0.275
```

Computed properties:
Energy (eV/cell): -109.64
ρ (g/cm3): 9.59
DFT formation energy (eV per atom): 0.193
Space group: Cmmm (65)



First-principles (GGA-PBE) data for a relaxed structure of Er3ZnN, as listed in Alexandria. Values from VASP.

```
&SYSTEM
  ibrav = 0, nat = 5, ntyp = 3
/
ATOMIC_SPECIES
Zn 65.41 Zn.upf
N 14.01 N.upf
Er 167.26 Er.upf
CELL_PARAMETERS angstrom
-4.202 1.681 1.320
0.915 -1.216 4.462
1.932 4.233 0.758
ATOMIC_POSITIONS crystal
Zn 0.500 0.500 0.500
N 0.000 0.000 0.000
Er 0.000 0.500 0.000
Er 0.000 0.000 0.500
Er 0.500 0.000 0.000
```

Computed properties:
Energy (eV/cell): -27.40
ρ (g/cm3): 9.21
Space group: Pm-3m (221)



First-principles (GGA-PBE) data for a relaxed structure of CaTh3Os8, as listed in Alexandria. Values from VASP.

```
&SYSTEM
  ibrav = 0, nat = 12, ntyp = 3
/
ATOMIC_SPECIES
Ca 40.08 Ca.upf
Th 232.04 Th.upf
Os 190.23 Os.upf
CELL_PARAMETERS angstrom
5.200 -0.005 1.565
2.359 4.634 1.565
-0.019 -0.012 9.432
ATOMIC_POSITIONS crystal
Ca 0.875 0.875 0.374
Th 0.375 0.375 0.875
Th 0.998 0.998 0.005
Th 0.502 0.502 0.494
Os 0.936 0.437 0.190
Os 0.442 0.937 0.685
Os 0.437 0.437 0.190
Os 0.937 0.937 0.685
Os 0.187 0.187 0.438
Os 0.687 0.687 0.939
Os 0.437 0.936 0.190
Os 0.937 0.442 0.685
```

Computed properties:
Energy (eV/cell): -116.15
ρ (g/cm3): 16.48
DFT formation energy (eV per atom): -0.171
Space group: Cm (8)



First-principles (GGA-PBE) data for a relaxed structure of Sc2CuSi, as listed in Alexandria. Values from VASP.

```
&SYSTEM
  ibrav = 0, nat = 4, ntyp = 3
/
ATOMIC_SPECIES
Sc 44.96 Sc.upf
Si 28.09 Si.upf
Cu 63.55 Cu.upf
CELL_PARAMETERS angstrom
-0.785 9.293 3.480
1.058 8.182 5.569
2.173 9.241 2.995
ATOMIC_POSITIONS crystal
Sc 0.909 0.909 0.909
Sc 0.091 0.091 0.091
Si 0.500 0.500 0.500
Cu 0.000 0.000 0.000
```

Computed properties:
Energy (eV/cell): -21.42
ρ (g/cm3): 3.95
Space group: R-3m (166)



First-principles (GGA-PBE) data for a relaxed structure of RbBe3Pb, as listed in Alexandria. Values from VASP.

```
&SYSTEM
  ibrav = 0, nat = 5, ntyp = 3
/
ATOMIC_SPECIES
Pb 207.20 Pb.upf
Be 9.01 Be.upf
Rb 85.47 Rb.upf
CELL_PARAMETERS angstrom
-1.337 1.003 -4.876
3.954 -2.854 -1.671
-3.025 -4.174 -0.029
ATOMIC_POSITIONS crystal
Pb 0.000 0.000 0.000
Be 0.000 0.500 0.000
Be 0.000 0.000 0.500
Be 0.500 0.000 0.000
Rb 0.500 0.500 0.500
```

Computed properties:
Distance to the lowest polymorph of the same formula (kcal/mol of atoms): 0.000
Energy (eV/cell): -9.68
ρ (g/cm3): 3.88
DFT formation energy (eV per atom): 1.234
Space group: Pm-3m (221)



First-principles (GGA-PBE) data for a relaxed structure of KScNbNi2, as listed in Alexandria. Values from VASP.

```
&SYSTEM
  ibrav = 0, nat = 5, ntyp = 4
/
ATOMIC_SPECIES
Sc 44.96 Sc.upf
Ni 58.69 Ni.upf
Nb 92.91 Nb.upf
K 39.10 K.upf
CELL_PARAMETERS angstrom
4.505 0.000 0.000
0.000 4.647 0.000
0.000 0.000 4.505
ATOMIC_POSITIONS crystal
Sc 0.000 0.500 0.000
Ni 0.000 0.000 0.500
Ni 0.500 0.000 0.000
Nb 0.500 0.500 0.500
K 0.000 0.000 0.000
```

Computed properties:
Energy (eV/cell): -19.99
ρ (g/cm3): 5.18
DFT formation energy (eV per atom): 1.814
Space group: P4/mmm (123)



First-principles (GGA-PBE) data for a relaxed structure of Li3ReSb, as listed in Alexandria. Values from VASP.

```
&SYSTEM
  ibrav = 0, nat = 5, ntyp = 3
/
ATOMIC_SPECIES
Re 186.21 Re.upf
Li 6.94 Li.upf
Sb 121.76 Sb.upf
CELL_PARAMETERS angstrom
5.094 0.000 0.000
0.000 5.094 0.000
0.000 0.000 5.094
ATOMIC_POSITIONS crystal
Re 0.500 0.500 0.500
Li 0.000 0.500 0.000
Li 0.000 0.000 0.500
Li 0.500 0.000 0.000
Sb 0.000 0.000 0.000
```

Computed properties:
Distance to the lowest polymorph of the same formula (kcal/mol of atoms): 0.000
Energy (eV/cell): -17.21
ρ (g/cm3): 4.13
Space group: Pm-3m (221)



First-principles (GGA-PBE) data for a relaxed structure of MnCo2HPd, as listed in Alexandria. Values from VASP.

```
&SYSTEM
  ibrav = 0, nat = 5, ntyp = 4
/
ATOMIC_SPECIES
H 1.01 H.upf
Mn 54.94 Mn.upf
Co 58.93 Co.upf
Pd 106.42 Pd.upf
CELL_PARAMETERS angstrom
-0.367 -3.647 0.411
2.580 0.037 2.635
-2.725 0.574 2.660
ATOMIC_POSITIONS crystal
H 0.000 0.000 0.000
Mn 0.000 0.000 0.500
Co 0.000 0.500 0.000
Co 0.500 0.000 0.000
Pd 0.500 0.500 0.500
```

Computed properties:
Distance to the lowest polymorph of the same formula (kcal/mol of atoms): 0.000
Energy (eV/cell): -31.86
ρ (g/cm3): 8.88
Space group: P4/mmm (123)



First-principles (GGA-PBE) data for a relaxed structure of PrY2Pd9, as listed in Alexandria. Values from VASP.

```
&SYSTEM
  ibrav = 0, nat = 12, ntyp = 3
/
ATOMIC_SPECIES
Pr 140.91 Pr.upf
Y 88.91 Y.upf
Pd 106.42 Pd.upf
CELL_PARAMETERS angstrom
-2.515 -3.024 1.384
3.322 -2.201 1.229
-0.480 5.509 11.165
ATOMIC_POSITIONS crystal
Pr 0.000 0.000 0.000
Y 0.000 0.000 0.336
Y 0.000 0.000 0.664
Pd 0.500 0.500 0.000
Pd 0.500 0.500 0.335
Pd 0.500 0.500 0.665
Pd 0.500 0.000 0.172
Pd 0.500 0.000 0.500
Pd 0.500 0.000 0.828
Pd 0.000 0.500 0.172
Pd 0.000 0.500 0.500
Pd 0.000 0.500 0.828
```

Computed properties:
Energy (eV/cell): -74.11
ρ (g/cm3): 9.78
DFT formation energy (eV per atom): -0.805
Space group: P4/mmm (123)



First-principles (GGA-PBE) data for a relaxed structure of Y2PCl, as listed in Alexandria. Values from VASP.

```
&SYSTEM
  ibrav = 0, nat = 4, ntyp = 3
/
ATOMIC_SPECIES
Cl 35.45 Cl.upf
P 30.97 P.upf
Y 88.91 Y.upf
CELL_PARAMETERS angstrom
6.633 -0.010 -0.022
-3.128 4.314 0.004
0.377 1.550 3.303
ATOMIC_POSITIONS crystal
Cl 0.000 0.500 0.500
P 0.500 0.500 0.000
Y 0.000 0.000 0.000
Y 0.500 0.000 0.500
```

Computed properties:
Energy (eV/cell): -24.61
ρ (g/cm3): 4.29
Space group: C2/m (12)